Record 1
# NdPu3Ge2 | Alexandria | PBE | optimized geometry
data_NdPu3Ge2
_chemical_formula_sum 'Nd2 Pu6 Ge4'
_symmetry_space_group_name_H-M 'P m c 21'
_symmetry_Int_Tables_number 26
_symmetry_space_group_name_Hall 'P 2c -2'
_cell_length_a 4.291
_cell_length_b 8.955
_cell_length_c 7.286
_cell_angle_alpha 90.00
_cell_angle_beta 90.00
_cell_angle_gamma 90.00
loop_
_atom_site_label
_atom_site_fract_x
_atom_site_fract_y
_atom_site_fract_z
_atom_site_occupancy
Nd1 0.000 0.080 0.000 1
Pu1 0.000 0.284 0.531 1
Pu2 0.500 0.260 0.347 1
Pu3 0.500 0.437 0.832 1
Ge1 0.000 0.399 0.122 1
Ge2 0.500 0.100 0.709 1
# E_tot	-9.902	eV per atom
# energy of formation from the pure elements	-0.40	eV/atom

=====

Record 2
# NdPu4Ge3 | Alexandria | PBE | optimized geometry
data_NdPu4Ge3
_chemical_formula_sum 'Nd4 Pu16 Ge12'
_symmetry_space_group_name_H-M 'I 4/m c m'
_symmetry_Int_Tables_number 140
_symmetry_space_group_name_Hall '-I 4 2c'
_cell_length_a 7.931
_cell_length_b 7.931
_cell_length_c 12.532
_cell_angle_alpha 90.00
_cell_angle_beta 90.00
_cell_angle_gamma 90.00
loop_
_atom_site_label
_atom_site_fract_x
_atom_site_fract_y
_atom_site_fract_z
_atom_site_occupancy
Nd1 0.000 0.000 0.000 1
Pu1 0.157 0.343 0.156 1
Ge1 0.000 0.000 0.250 1
Ge2 0.141 0.359 0.500 1
# E_tot	-9.910	eV per atom
# energy of formation from the pure elements	-0.42	eV/atom

=====

Record 3
# NdPu2Ge2 | Alexandria | PBE | optimized geometry
data_NdPu2Ge2
_chemical_formula_sum 'Nd2 Pu4 Ge4'
_symmetry_space_group_name_H-M 'P 1 21/m 1'
_symmetry_Int_Tables_number 11
_symmetry_space_group_name_Hall '-P 2yb'
_cell_length_a 5.570
_cell_length_b 3.573
_cell_length_c 12.153
_cell_angle_alpha 90.00
_cell_angle_beta 102.35
_cell_angle_gamma 90.00
loop_
_atom_site_label
_atom_site_fract_x
_atom_site_fract_y
_atom_site_fract_z
_atom_site_occupancy
Nd1 0.232 0.250 0.230 1
Pu1 0.099 0.250 0.552 1
Pu2 0.365 0.750 0.992 1
Ge1 0.281 0.250 0.794 1
Ge2 0.385 0.750 0.434 1
# offset from the most stable computed form	230.8	meV per atom
# E_tot	-8.670	eV per atom
# energy of formation from the pure elements	-0.14	eV/atom

=====

What total magnetization values result from the calculations? In sequence: 9.44 92.42 0.03 Bohr magnetons per cell.